(1)
Material: ThMnTc2
Method: DFT, PBE
State: optimized geometry

Properties
The value obtained for the final energy is -9.165 eV per atom.

Unit cell a=4.5121 b=4.5121 c=13.5752 alpha=90.00 beta=90.00 gamma=120.00
Space group R-3m (No. 166, hexagonal axes)
One atom of each set of equivalent atoms:
Th  0.0000  0.0000  0.0000 (multiplicity 3)
Mn  0.0000  0.0000  0.5000 (multiplicity 3)
Tc  0.0000  0.0000  0.1945 (multiplicity 6)



(2)
Material: PaNiGeH
Method: DFT, PBE
State: optimized geometry

Properties
The value obtained for the final energy is -6.467 eV per atom.

Unit cell a=4.1030 b=4.1030 c=3.9002 alpha=90.00 beta=90.00 gamma=120.00
Space group P3m1 (No. 156)
One atom of each set of equivalent atoms:
Pa  0.0000  0.0000  0.0000 (multiplicity 1)
Ni  0.6667  0.3333  0.5707 (multiplicity 1)
Ge  0.3333  0.6667  0.4722 (multiplicity 1)
H  0.6667  0.3333  0.9931 (multiplicity 1)



(3)
Material: Nd2Ho2Sc
Method: DFT, PBE
State: optimized geometry

Properties
The value obtained for the final energy is -4.878 eV per atom.

Unit cell a=9.249 b=8.525 c=9.221 alpha=90.00 beta=119.63 gamma=90.00
Space group C2/c (No. 15)
One atom of each set of equivalent atoms:
Nd  0.112  0.181  0.156 (multiplicity 8)
Ho  0.165  0.470  0.457 (multiplicity 8)
Sc  0.000  0.179  0.750 (multiplicity 4)



(4)
Material: Zr3Hg2N
Method: DFT, PBE
State: optimized geometry

Properties
As for the formation energy (no corrections): -625 meV per atom.

Unit cell a=7.586 b=7.586 c=7.586 alpha=90.00 beta=90.00 gamma=90.00
Space group P4_132 (No. 213)
One atom of each set of equivalent atoms:
Zr  0.041  0.125  0.791 (multiplicity 12)
Hg  0.065  0.935  0.435 (multiplicity 8)
N  0.125  0.375  0.625 (multiplicity 4)



(5)
Material: GeAu3O
Method: DFT, PBE
State: optimized geometry

Properties
As for the formation energy (no corrections): 994 meV per atom.

Unit cell a=4.863 b=4.863 c=4.863 alpha=90.00 beta=90.00 gamma=90.00
Space group Pm-3m (No. 221)
One atom of each set of equivalent atoms:
Ge  0.000  0.000  0.000 (multiplicity 1)
Au  0.000  0.000  0.500 (multiplicity 3)
O  0.500  0.500  0.500 (multiplicity 1)



(6)
Material: Mg2TlCl
Method: DFT, PBE
State: optimized geometry

Properties
As for the formation energy (no corrections): -441 meV per atom.

Unit cell a=11.436 b=3.300 c=5.246 alpha=90.00 beta=91.09 gamma=90.00
Space group Cm (No. 8)
One atom of each set of equivalent atoms:
Mg  0.000  0.000  0.000 (multiplicity 2)
Mg  0.240  0.500  0.381 (multiplicity 2)
Tl  0.265  0.000  0.874 (multiplicity 2)
Cl  0.021  0.500  0.372 (multiplicity 2)



(7)
Material: Ac3Ni2Ir3
Method: DFT, PBE
State: optimized geometry

Properties
The value obtained for the final energy is -6.753 eV per atom.

Unit cell a=4.257 b=11.227 c=15.835 alpha=90.00 beta=90.00 gamma=90.00
Space group Cmcm (No. 63)
One atom of each set of equivalent atoms:
Ac  0.000  0.069  0.250 (multiplicity 4)
Ac  0.000  0.356  0.093 (multiplicity 8)
Ni  0.000  0.349  0.616 (multiplicity 8)
Ir  0.000  0.080  0.057 (multiplicity 8)
Ir  0.000  0.226  0.750 (multiplicity 4)



(8)
Material: La3TlTe2
Method: DFT, PBE
State: optimized geometry

Properties
As for the formation energy (no corrections): -1201 meV per atom.

Unit cell a=6.513 b=13.827 c=9.203 alpha=90.00 beta=90.01 gamma=90.00
Space group P2_1/c (No. 14)
One atom of each set of equivalent atoms:
La  0.249  0.249  0.377 (multiplicity 4)
La  0.250  0.583  0.875 (multiplicity 4)
La  0.250  0.584  0.376 (multiplicity 4)
Tl  0.249  0.085  0.629 (multiplicity 4)
Te  0.250  0.084  0.125 (multiplicity 4)
Te  0.251  0.749  0.626 (multiplicity 4)